[1]
La2Pm4Sm3 | PBE | relaxed

The structure in POSCAR format:
```
La2Pm4Sm3
1.0
-2.344 -2.492 -1.308
3.434 -0.971 0.823
-7.811 -6.027 25.490
La Pm Sm
2 4 3
direct
0.667 0.333 0.091
0.667 0.333 0.871
0.000 0.000 0.543
0.667 0.333 0.435
0.667 0.333 0.220
0.000 0.000 0.759
0.000 0.000 0.983
0.000 0.000 0.324
0.667 0.333 0.651
```

Output
Its uncorrected energy is -4.721 eV/atom. Its symmetry is P3m1, No. 156. As for the total magnetization: 0.00 μB per cell. The volume is 318 Å³/f.u. As for the density: 6.84 g/cm³. The relative energy among the computed polymorphs is 0 meV/atom.

=====

[2]
LaPm2Sm | PBE | relaxed

The structure in POSCAR format:
```
LaPm2Sm
1.0
-4.769 0.409 2.021
0.930 -4.106 3.026
1.835 3.139 3.696
La Sm Pm
1 1 2
direct
0.500 0.000 0.000
0.500 0.500 0.500
0.000 0.000 0.500
0.000 0.500 0.000
```

Output
Its uncorrected energy is -4.769 eV/atom. Its symmetry is P4/mmm, No. 123. As for the total magnetization: 0.00 μB per cell. The volume is 140 Å³/f.u. As for the density: 6.89 g/cm³. The relative energy among the computed polymorphs is 2 meV/atom.

=====

[3]
La5Pm6Sm2 | PBE | relaxed

The structure in POSCAR format:
```
La5Pm6Sm2
1.0
-0.894 2.708 -2.339
5.553 -5.804 -8.843
-17.962 -10.003 -4.715
La Pm Sm
10 12 4
direct
0.500 0.300 0.450
0.500 0.700 0.550
0.500 0.800 0.050
0.500 0.200 0.950
0.500 0.582 0.273
0.500 0.418 0.727
0.500 0.082 0.227
0.500 0.918 0.773
0.500 0.500 0.000
0.500 0.000 0.500
0.000 0.082 0.369
0.000 0.918 0.631
0.000 0.582 0.131
0.000 0.418 0.869
0.500 0.323 0.137
0.500 0.677 0.863
0.500 0.823 0.363
0.500 0.177 0.637
0.000 0.560 0.420
0.000 0.440 0.580
0.000 0.060 0.080
0.000 0.940 0.920
0.000 0.327 0.289
0.000 0.673 0.711
0.000 0.827 0.211
0.000 0.173 0.789
```

Output
Its uncorrected energy is -4.731 eV/atom. Its symmetry is Pbam, No. 55. As for the total magnetization: 0.00 μB per cell. The volume is 465 Å³/f.u. As for the density: 6.67 g/cm³.

=====

[4]
La2Pm2Sm7 | PBE | relaxed

The structure in POSCAR format:
```
La2Pm2Sm7
1.0
6.804 -0.007 -1.789
0.008 9.495 0.001
-2.210 0.003 6.679
La Pm Sm
2 2 7
direct
0.750 0.500 0.750
0.250 0.500 0.250
0.732 0.000 0.268
0.268 0.000 0.732
0.000 0.319 0.500
0.500 0.681 0.000
0.000 0.681 0.500
0.500 0.319 0.000
0.000 0.000 0.000
0.500 0.822 0.500
0.500 0.178 0.500
```

Output
Its uncorrected energy is -4.443 eV/atom. Its symmetry is Cmmm, No. 65. As for the total magnetization: 0.00 μB per cell. The volume is 394 Å³/f.u. As for the density: 6.83 g/cm³. The relative energy among the computed polymorphs is 184 meV/atom.

=====

no.,formation energy (kcal/mol of atoms)
1,1.34
2,0.41
3,1.90
4,7.38